[1]
Here is a PBEsol-optimized structure of Na14Fe2O9 from Alexandria via LeMat-Bulk. Energies are from meta-GGA SCAN.

Cell: 6.6430 6.6430 9.2876 Å, 90.00 90.00 120.00°
Space group P-3 (No. 147)
One atom of each set of equivalent atoms:
Na (0.0000, 0.0000, 0.2494) x2
Na (0.0401, 0.6774, 0.5918) x6
Na (0.0755, 0.3827, 0.9065) x6
Fe (0.3333, 0.6667, 0.2341) x2
O (0.0000, 0.0000, 0.5000) x1
O (0.0722, 0.3714, 0.1637) x6
O (0.3333, 0.6667, 0.4455) x2

## Properties
Final energy: -0.547 Ry per atom
Crystal system: trigonal
Formation energy without anion corrections: -1391 meV/atom
ρ: 2.70 g cm⁻³



[2]
Here is a PBEsol-optimized structure of NaFe5O8 from Alexandria via LeMat-Bulk. Energies are from meta-GGA SCAN.

Cell: 8.155 8.155 8.155 Å, 90.00 90.00 90.00°
Space group P4_332 (No. 212)
One atom of each set of equivalent atoms:
Na (0.125, 0.125, 0.125) x4
Fe (0.008, 0.992, 0.492) x8
Fe (0.112, 0.862, 0.875) x12
O (0.091, 0.856, 0.109) x24
O (0.124, 0.376, 0.624) x8

## Properties
Final energy: -0.879 Ry per atom
Crystal system: cubic
Formation energy without anion corrections: -1620 meV/atom
Energy relative to the lowest polymorph listed for this composition: 0.00 kJ/mol of atoms
ρ: 5.27 g cm⁻³



[3]
Here is a PBEsol-optimized structure of Na2FeO3 from Alexandria via LeMat-Bulk. Energies are from meta-GGA SCAN.

Cell: 10.795 6.109 5.096 Å, 90.00 90.00 90.00°
Space group Cmc2_1 (No. 36)
One atom of each set of equivalent atoms:
Na (0.161, 0.185, 0.000) x8
Fe (0.000, 0.319, 0.526) x4
O (0.000, 0.421, 0.853) x4
O (0.139, 0.189, 0.472) x8

## Properties
Final energy: -0.672 Ry per atom
Crystal system: orthorhombic
Formation energy without anion corrections: -1603 meV/atom
Energy relative to the lowest polymorph listed for this composition: 8.27 kJ/mol of atoms
ρ: 2.96 g cm⁻³



[4]
Here is a PBEsol-optimized structure of Na2FeO3 from Alexandria via LeMat-Bulk. Energies are from meta-GGA SCAN.

Cell: 5.158 8.926 10.677 Å, 90.00 99.61 90.00°
Space group C2/c (No. 15)
One atom of each set of equivalent atoms:
Na (0.000, 0.086, 0.250) x4
Na (0.236, 0.079, 0.000) x8
Na (0.250, 0.250, 0.500) x4
Fe (0.000, 0.248, 0.750) x4
Fe (0.000, 0.420, 0.250) x4
O (0.086, 0.414, 0.653) x8
O (0.156, 0.103, 0.652) x8
O (0.157, 0.276, 0.153) x8

## Properties
Final energy: -0.678 Ry per atom
Crystal system: monoclinic
Formation energy without anion corrections: -1689 meV/atom
Energy relative to the lowest polymorph listed for this composition: 0.00 kJ/mol of atoms
ρ: 4.11 g cm⁻³